! CaLa6Pm4 (PBE, relaxed); values from VASP
! **Total magnetization**: 0.0 μB/f.u.
! **V**: 412 Å³/cell
! **E_form**: 0.1461 eV/atom
! **Space group**: P-6m2 (187)
! **Calculated total energy**: -48.96 eV/cell
&SYSTEM
  ibrav = 0, nat = 11, ntyp = 3
/
ATOMIC_SPECIES
La 138.91 La.upf
Pm 145.00 Pm.upf
Ca 40.08 Ca.upf
ATOMIC_POSITIONS angstrom
La 0.000 5.010 2.648
La 1.854 6.352 5.663
La 1.854 1.728 8.333
La 1.854 1.728 2.994
La 0.000 9.597 0.000
La 0.000 5.010 -2.648
Pm 0.000 3.270 5.663
Pm 1.854 3.550 0.000
Pm 1.854 8.034 2.589
Pm 1.854 8.034 -2.588
Ca 0.000 0.000 0.000
CELL_PARAMETERS angstrom
3.707 0.000 0.000
0.000 9.809 -5.663
0.000 0.000 11.326